Here is a geometry-optimized TlCd2Br structure from Alexandria via LeMat-Bulk. Energies are from PBE.

POSCAR file:
```
TlCd2Br
1.0
4.215 0.000 0.000
0.000 6.219 0.000
-0.115 0.000 4.792
Tl Cd Br
1 2 1
Direct
0.000 0.000 0.000
0.257 0.500 0.743
0.743 0.500 0.257
0.500 0.000 0.500
```

## Properties
Total magnetic moment in μB per atom: 0.00
Relative energy among the computed polymorphs in eV per atom: 0.075
Energy relative to the elements, uncorrected in eV/atom: -0.224
Space group: P2/m, No. 10
ρ in g/cm3: 6.73